## As2PdI (GGA-PBE)

Data for a geometry-optimized As2PdI structure.

Results
- Calculated volume: 83.3 Å³/cell
- Formation energy without anion corrections: 630 meV/atom
- Crystal system: cubic
- M_tot: 0.00 μB/cell
- E: -3.380 eV per atom

Cell: 4.9018 4.9018 4.9018 Å, 60.00 60.00 60.00°
Element x y z (fractional)
I 0.5000 0.5000 0.5000
As 0.2500 0.2500 0.2500
As 0.7500 0.7500 0.7500
Pd 0.0000 0.0000 0.0000